Here is a relaxed Ba2ZrSb crystal from Alexandria. Energies are from PBE.

The structure belongs to space group P4mm (No. 99); the cell edges are 4.016, 4.016 and 9.712 Å and the angles 90.00°, 90.00° and 90.00°. The inequivalent atoms are Ba at (0.000, 0.000, 0.000), Ba at (0.500, 0.500, 0.387), Zr at (0.500, 0.500, 0.735) and Sb at (0.000, 0.000, 0.639).

The uncorrected energy comes out at -4.3737 eV per atom. The uncorrected formation energy comes out at -0.245 eV/atom.

Here is a relaxed AcReO crystal from Alexandria. Energies are from PBE.

The structure belongs to space group Cm (No. 8); the cell edges are 5.041, 5.003 and 9.564 Å and the angles 90.00°, 96.73° and 90.00°. The inequivalent atoms are Ac at (0.000, 0.000, 0.000), Ac at (0.075, 0.500, 0.346), Re at (0.023, 0.000, 0.653), Re at (0.048, 0.500, 0.693), O at (0.015, 0.500, 0.073) and O at (0.060, 0.000, 0.273).

The uncorrected energy comes out at -8.5772 eV per atom. The uncorrected formation energy comes out at -1.406 eV/atom.

Here is a relaxed La2HfMg2 crystal from Alexandria. Energies are from PBE.

The structure belongs to space group P4/mbm (No. 127); the cell edges are 9.039, 9.039 and 3.526 Å and the angles 90.00°, 90.00° and 90.00°. The inequivalent atoms are La at (0.182, 0.318, 0.000), Hf at (0.000, 0.000, 0.500) and Mg at (0.117, 0.617, 0.500).

The uncorrected energy comes out at -4.3136 eV per atom. The formation energy comes out at 286 meV/atom.

Here is a relaxed HfTa2BPb crystal from Alexandria. Energies are from PBE.

The structure belongs to space group P4/mmm (No. 123); the cell edges are 5.272, 5.272 and 4.058 Å and the angles 90.00°, 90.00° and 90.00°. The inequivalent atoms are Hf at (0.000, 0.000, 0.000), Ta at (0.000, 0.500, 0.500), B at (0.500, 0.500, 0.000) and Pb at (0.500, 0.500, 0.500).

The uncorrected energy comes out at -6.6366 eV per atom. The formation energy comes out at 2172 meV/atom.

Here is a relaxed Sr2AcLaSe4 crystal from Alexandria. Energies are from PBE.

The structure belongs to space group P2/m (No. 10); the cell edges are 7.602, 4.389 and 7.717 Å and the angles 90.00°, 109.16° and 90.00°. The inequivalent atoms are Sr at (0.000, 0.000, 0.000), Sr at (0.500, 0.500, 0.000), Ac at (0.000, 0.500, 0.500), La at (0.500, 0.000, 0.500), Se at (0.255, 0.000, 0.752) and Se at (0.255, 0.500, 0.252).

The uncorrected energy comes out at -5.2541 eV per atom. The uncorrected formation energy comes out at -1.962 eV/atom.

Here is a relaxed ErBeSi2Rh crystal from Alexandria. Energies are from PBE.

The structure belongs to space group I-4m2 (No. 119); the cell edges are 3.866, 3.866 and 10.269 Å and the angles 90.00°, 90.00° and 90.00°. The inequivalent atoms are Er at (0.000, 0.000, 0.000), Be at (0.000, 0.500, 0.750), Si at (0.000, 0.000, 0.385) and Rh at (0.000, 0.500, 0.250).

The uncorrected energy comes out at -6.0813 eV per atom. The uncorrected formation energy comes out at -0.784 eV/atom.